CoAgClF2 | the Alexandria database | PBE+U | relaxed; density of states at the Fermi level = 0.0 states/eV/cell; SG = No. 11; energy above the most stable polymorph in this dataset = 0.02 eV/f.u.
1.0
-0.1057 -3.0018 2.1797
0.6579 -3.3515 -4.5834
8.3106 1.2417 2.1131
Co Ag F Cl
2 2 4 2
Direct
0.2500 0.9521 0.8390
0.7500 0.0479 0.1610
0.7500 0.3294 0.5669
0.2500 0.6706 0.4331
0.2500 0.9335 0.0870
0.7500 0.0665 0.9130
0.2500 0.0146 0.6295
0.7500 0.9854 0.3705
0.7500 0.4600 0.2335
0.2500 0.5400 0.7665